Material: Mg2NbPd9
Method: DFT, GGA-PBE
State: relaxed

```
Mg2NbPd9
1.0
-0.171 -3.798 1.128
3.961 -0.154 0.083
-0.106 3.407 11.448
Pd Mg Nb
9 2 1
direct
0.500 0.000 0.162
0.500 0.500 0.330
0.000 0.500 0.838
0.500 0.500 0.000
0.000 0.500 0.162
0.500 0.000 0.838
0.000 0.500 0.500
0.500 0.000 0.500
0.500 0.500 0.670
0.000 0.000 0.336
0.000 0.000 0.664
0.000 0.000 0.000
```

Summary:
DOS(E_F), states/eV/cell: 12.96
ΔE_f, meV per atom: -487
Uncorrected energy, eV per atom: -5.487
Calculated density, g/cm3: 9.72



Material: Mg4NbPd15
Method: DFT, GGA-PBE
State: relaxed

```
Mg4NbPd15
1.0
-1.037 -0.403 -3.810
-2.883 -2.518 1.051
-12.617 15.207 1.827
Pd Mg Nb
15 4 1
direct
0.500 0.500 0.401
0.500 0.000 0.097
0.500 0.000 0.903
0.000 0.500 0.700
0.500 0.500 0.599
0.500 0.500 0.000
0.000 0.500 0.500
0.500 0.500 0.199
0.500 0.500 0.801
0.500 0.000 0.700
0.500 0.000 0.500
0.500 0.000 0.300
0.000 0.500 0.097
0.000 0.500 0.300
0.000 0.500 0.903
0.000 0.000 0.399
0.000 0.000 0.201
0.000 0.000 0.601
0.000 0.000 0.799
0.000 0.000 0.000
```

Summary:
DOS(E_F), states/eV/cell: 22.34
ΔE_f, meV per atom: -486
Uncorrected energy, eV per atom: -5.203
Calculated density, g/cm3: 9.49



Material: MgNbPd3
Method: DFT, GGA-PBE
State: relaxed

```
MgNbPd3
1.0
4.857 0.000 0.000
0.000 4.857 0.000
0.000 0.000 4.857
Pd Mg Nb
3 1 1
direct
0.000 0.500 0.000
0.000 0.000 0.500
0.500 0.000 0.000
0.500 0.500 0.500
0.000 0.000 0.000
```

Summary:
ΔE to the lowest computed polymorph, eV per formula unit: 0.00
DOS(E_F), states/eV/cell: 4.20
ΔE_f, meV per atom: 619
Uncorrected energy, eV per atom: -4.830
Calculated density, g/cm3: 6.33



Material: MgNbPdPt
Method: DFT, GGA-PBE
State: relaxed

```
MgNbPdPt
1.0
-2.225 -2.698 -2.911
-2.014 -3.794 1.500
-4.540 -0.258 0.153
Nb Pt Pd Mg
1 1 1 1
direct
0.500 0.500 0.500
0.750 0.750 0.750
0.250 0.250 0.250
0.000 0.000 0.000
```

Summary:
DOS(E_F), states/eV/cell: 4.14
ΔE_f, meV per atom: -511
Uncorrected energy, eV per atom: -6.235
Calculated density, g/cm3: 10.44



Material: MgNbPdRu2
Method: DFT, GGA-PBE
State: relaxed

```
MgNbPdRu2
1.0
4.781 0.000 0.000
0.000 4.394 0.000
0.000 0.000 4.781
Ru Mg Pd Nb
2 1 1 1
direct
0.000 0.000 0.500
0.500 0.000 0.000
0.000 0.500 0.000
0.000 0.000 0.000
0.500 0.500 0.500
```

Summary:
DOS(E_F), states/eV/cell: 5.48
ΔE_f, meV per atom: 1395
Uncorrected energy, eV per atom: -5.687
Calculated density, g/cm3: 7.04



Material: Mg2NbPdS
Method: DFT, GGA-PBE
State: relaxed

```
Mg2NbPdS
1.0
-2.773 -0.619 4.597
4.076 -0.426 2.401
0.099 5.347 0.780
Mg Nb S Pd
2 1 1 1
direct
0.000 0.000 0.500
0.500 0.000 0.000
0.000 0.000 0.000
0.500 0.500 0.500
0.000 0.500 0.000
```

Summary:
DOS(E_F), states/eV/cell: 5.29
Uncorrected energy, eV per atom: -3.350
Calculated density, g/cm3: 3.35
E_form (uncorrected), meV per atom: 1165



Material: MgNb2TcPd
Method: DFT, GGA-PBE
State: relaxed

```
MgNb2TcPd
1.0
4.737 0.000 0.000
0.000 5.026 0.000
0.000 0.000 4.737
Nb Pd Mg Tc
2 1 1 1
direct
0.500 0.000 0.000
0.000 0.000 0.500
0.000 0.500 0.000
0.500 0.500 0.500
0.000 0.000 0.000
```

Summary:
DOS(E_F), states/eV/cell: 5.05
ΔE_f, meV per atom: 867
Uncorrected energy, eV per atom: -6.592
Calculated density, g/cm3: 6.10



Material: MgNb2ZnPd
Method: DFT, GGA-PBE
State: relaxed

```
MgNb2ZnPd
1.0
4.800 0.000 0.000
0.000 4.460 0.000
0.000 0.000 4.800
Nb Mg Zn Pd
2 1 1 1
direct
0.000 0.000 0.500
0.500 0.000 0.000
0.000 0.000 0.000
0.500 0.500 0.500
0.000 0.500 0.000
```

Summary:
DOS(E_F), states/eV/cell: 4.48
ΔE_f, meV per atom: 1337
Uncorrected energy, eV per atom: -4.304
Calculated density, g/cm3: 6.17



Material: Pm2MgNb
Method: DFT, GGA-PBE
State: relaxed

```
Pm2MgNb
1.0
-0.979 1.597 2.614
-2.982 -0.430 1.124
2.553 -8.492 8.123
Pm Nb Mg
2 1 1
direct
0.917 0.917 0.249
0.083 0.083 0.751
0.000 0.000 0.000
0.500 0.500 0.500
```

Summary:
DOS(E_F), states/eV/cell: 5.73
ΔE_f, meV per atom: 540
Uncorrected energy, eV per atom: -4.751
Calculated density, g/cm3: 6.36



Material: Pr2MgNb
Method: DFT, GGA-PBE
State: relaxed

```
Pr2MgNb
1.0
3.251 0.000 0.000
1.625 2.815 0.000
1.625 0.938 12.019
Pr Nb Mg
2 1 1
direct
0.082 0.082 0.753
0.918 0.918 0.247
0.000 0.000 0.000
0.500 0.500 0.500
```

Summary:
DOS(E_F), states/eV/cell: 5.98
ΔE_f, meV per atom: 567
Uncorrected energy, eV per atom: -4.739
Calculated density, g/cm3: 6.02



Material: Mg2NbPt2
Method: DFT, GGA-PBE
State: relaxed

```
Mg2NbPt2
1.0
-3.915 -5.133 2.122
0.794 -3.087 -6.002
3.224 -1.883 1.395
Mg Nb Pt
4 2 4
direct
0.665 0.835 0.500
0.165 0.665 0.500
0.835 0.335 0.500
0.335 0.165 0.500
0.000 0.000 0.000
0.500 0.500 0.000
0.138 0.362 0.000
0.362 0.862 0.000
0.862 0.638 0.000
0.638 0.138 0.000
```

Summary:
DOS(E_F), states/eV/cell: 7.07
ΔE_f, meV per atom: -483
Uncorrected energy, eV per atom: -5.551
Calculated density, g/cm3: 9.59



Material: MgNbPt2
Method: DFT, GGA-PBE
State: relaxed

```
MgNbPt2
1.0
-0.144 -7.130 -0.904
6.037 0.370 -3.884
4.485 -3.710 -0.035
Pt Nb Mg
4 2 2
direct
0.375 0.367 0.750
0.875 0.883 0.750
0.633 0.125 0.250
0.117 0.625 0.250
0.750 0.250 0.500
0.000 0.000 0.000
0.250 0.750 0.500
0.500 0.500 0.000
```

Summary:
DOS(E_F), states/eV/cell: 14.25
ΔE_f, meV per atom: -123
Uncorrected energy, eV per atom: -6.060
Calculated density, g/cm3: 11.50